The following is a PBE calculation of crystalline ErInAg at its relaxed geometry, from OQMD.

Geometry as extended XYZ:
```
3
Lattice="0.000 3.462 3.462 3.462 0.000 3.462 3.462 3.462 0.000" Properties=species:S:1:pos:R:3 pbc="T T T"
Er 0.000 0.000 0.000
In 1.731 1.731 1.731
Ag 5.193 5.193 5.193
```

Results
SG ... F-43m (216)
Total magnetic moment ... 0.001 μB/cell
E ... -3.229 eV per atom